ZrTaFe after structural relaxation, computed with PBE.

Lattice parameters (Å, degrees): 5.3543 5.5308 6.9167 90.00 90.00 90.00
Positions (direct):
1 Zr 0.0000 0.2500 0.1114
2 Zr 0.0000 0.7500 0.8886
3 Zr 0.5000 0.2500 0.3886
4 Zr 0.5000 0.7500 0.6114
5 Ta 0.0000 0.0000 0.5000
6 Ta 0.0000 0.5000 0.5000
7 Ta 0.5000 0.0000 0.0000
8 Ta 0.5000 0.5000 0.0000
9 Fe 0.2500 0.2500 0.7500
10 Fe 0.2500 0.7500 0.2500
11 Fe 0.7500 0.2500 0.7500
12 Fe 0.7500 0.7500 0.2500

Output
uncorrected energy: -9.729 eV per atom
excess energy over the best structure of this formula in the dataset: 0 meV/atom


Zr2TaFe2 after structural relaxation, computed with PBE.

Lattice parameters (Å, degrees): 3.4139 3.4139 15.2494 90.00 90.00 90.00
Positions (direct):
1 Zr 0.0000 0.0000 0.1111
2 Zr 0.0000 0.0000 0.8889
3 Zr 0.5000 0.5000 0.3889
4 Zr 0.5000 0.5000 0.6111
5 Ta 0.0000 0.0000 0.5000
6 Ta 0.5000 0.5000 0.0000
7 Fe 0.0000 0.5000 0.2500
8 Fe 0.0000 0.5000 0.7500
9 Fe 0.5000 0.0000 0.2500
10 Fe 0.5000 0.0000 0.7500

Output
uncorrected energy: -8.756 eV per atom
excess energy over the best structure of this formula in the dataset: 0 meV/atom


Tb2Fe17 after structural relaxation, computed with PBE.

Lattice parameters (Å, degrees): 8.3993 8.3993 8.2358 90.00 90.00 120.00
Positions (direct):
1 Tb 0.0000 0.0000 0.2500
2 Tb 0.0000 0.0000 0.7500
3 Tb 0.3333 0.6667 0.2500
4 Tb 0.6667 0.3333 0.7500
5 Fe 0.0000 0.5000 0.0000
6 Fe 0.0000 0.5000 0.5000
7 Fe 0.0382 0.3678 0.7500
8 Fe 0.0382 0.6704 0.7500
9 Fe 0.1658 0.3317 0.0140
10 Fe 0.1658 0.3317 0.4860
11 Fe 0.1658 0.8342 0.0140
12 Fe 0.1658 0.8342 0.4860
13 Fe 0.3296 0.3678 0.7500
14 Fe 0.3296 0.9618 0.7500
15 Fe 0.3317 0.1658 0.5140
16 Fe 0.3317 0.1658 0.9860
17 Fe 0.3333 0.6667 0.6072
18 Fe 0.3333 0.6667 0.8928
19 Fe 0.3678 0.0382 0.2500
20 Fe 0.3678 0.3296 0.2500
21 Fe 0.5000 0.0000 0.0000
22 Fe 0.5000 0.0000 0.5000
23 Fe 0.5000 0.5000 0.0000
24 Fe 0.5000 0.5000 0.5000
25 Fe 0.6322 0.6704 0.7500
26 Fe 0.6322 0.9618 0.7500
27 Fe 0.6667 0.3333 0.1072
28 Fe 0.6667 0.3333 0.3928
29 Fe 0.6683 0.8342 0.0140
30 Fe 0.6683 0.8342 0.4860
31 Fe 0.6704 0.0382 0.2500
32 Fe 0.6704 0.6322 0.2500
33 Fe 0.8342 0.1658 0.5140
34 Fe 0.8342 0.1658 0.9860
35 Fe 0.8342 0.6683 0.5140
36 Fe 0.8342 0.6683 0.9860
37 Fe 0.9618 0.3296 0.2500
38 Fe 0.9618 0.6322 0.2500

Output
uncorrected energy: -7.928 eV per atom


TbFe2 after structural relaxation, computed with PBE.

Lattice parameters (Å, degrees): 4.9333 4.9333 5.3151 90.00 90.00 90.00
Positions (direct):
1 Tb 0.0000 0.0000 0.0000
2 Tb 0.5000 0.5000 0.5000
3 Fe 0.1473 0.1473 0.5000
4 Fe 0.3527 0.6473 0.0000
5 Fe 0.6473 0.3527 0.0000
6 Fe 0.8527 0.8527 0.5000

Output
uncorrected energy: -5.933 eV per atom


Tb2Fe17 after structural relaxation, computed with PBE.

Lattice parameters (Å, degrees): 6.3587 6.3587 6.3587 82.72 82.72 82.72
Positions (direct):
1 Tb 0.1595 0.1595 0.1595
2 Tb 0.8405 0.8405 0.8405
3 Fe 0.0000 0.5000 0.5000
4 Fe 0.1579 0.1579 0.6579
5 Fe 0.1579 0.6579 0.1579
6 Fe 0.2026 0.5000 0.7974
7 Fe 0.2026 0.7974 0.5000
8 Fe 0.3421 0.8421 0.8421
9 Fe 0.4041 0.4041 0.4041
10 Fe 0.5000 0.0000 0.5000
11 Fe 0.5000 0.2026 0.7974
12 Fe 0.5000 0.5000 0.0000
13 Fe 0.5000 0.7974 0.2026
14 Fe 0.5959 0.5959 0.5959
15 Fe 0.6579 0.1579 0.1579
16 Fe 0.7974 0.2026 0.5000
17 Fe 0.7974 0.5000 0.2026
18 Fe 0.8421 0.3421 0.8421
19 Fe 0.8421 0.8421 0.3421

Output
uncorrected energy: -7.926 eV per atom


TbFe2 after structural relaxation, computed with PBE.

Lattice parameters (Å, degrees): 5.1132 5.1132 5.1132 60.00 60.00 60.00
Positions (direct):
1 Tb 0.1250 0.1250 0.1250
2 Tb 0.8750 0.8750 0.8750
3 Fe 0.0000 0.5000 0.5000
4 Fe 0.5000 0.0000 0.5000
5 Fe 0.5000 0.5000 0.0000
6 Fe 0.5000 0.5000 0.5000

Output
uncorrected energy: -7.136 eV per atom


> uncorrected energy of number 4 (TbFe2)?

-5.933 eV per atom


> Among the records above, which one has the lowest uncorrected energy?

ZrTaFe